Density functional theory data (PBE) for a relaxed Li2NpZnF8 crystal.

a b c (Å): 4.7593 6.8961 4.7700
angles (deg): 90.00 90.67 90.00
Element x y z (fractional)
Li1 0.0000 0.1973 0.0000
Li2 0.0000 0.8027 0.0000
Np1 0.5000 0.5000 0.5000
Zn1 0.5000 0.0000 0.5000
F1 0.1871 0.5000 0.8079
F2 0.2116 0.0000 0.7863
F3 0.2960 0.2479 0.2932
F4 0.2960 0.7521 0.2932
F5 0.7040 0.2479 0.7068
F6 0.7040 0.7521 0.7068
F7 0.7884 0.0000 0.2137
F8 0.8129 0.5000 0.1921

The calculation puts the total energy at -5.713 eV/atom. The total magnetization comes out at 3.00 μB per formula unit. The calculation puts the density at 5.0 g cm⁻³. For the uncorrected formation energy, the calculation gives -2.962 eV per atom.



Density functional theory data (PBE) for a relaxed Li6OF3 crystal.

a b c (Å): 5.6415 5.6415 5.6415
angles (deg): 111.74 111.74 105.01
Element x y z (fractional)
Li1 0.1879 0.5000 0.6879
Li2 0.2407 0.2407 0.0000
Li3 0.5000 0.1879 0.6879
Li4 0.5000 0.8121 0.3121
Li5 0.7593 0.7593 0.0000
Li6 0.8121 0.5000 0.3121
O1 0.5000 0.5000 0.0000
F1 0.0000 0.0000 0.0000
F2 0.2500 0.7500 0.5000
F3 0.7500 0.2500 0.5000

The calculation puts the total energy at -4.207 eV/atom. The total magnetization comes out at 0.00 μB per formula unit. The calculation puts the density at 1.4 g cm⁻³. For the uncorrected formation energy, the calculation gives -2.002 eV per atom.



Density functional theory data (PBE) for a relaxed LiO2F3 crystal.

a b c (Å): 8.9051 8.9051 3.2814
angles (deg): 99.19 99.19 34.20
Element x y z (fractional)
Li1 0.2327 0.7673 0.7500
Li2 0.7673 0.2327 0.2500
O1 0.1843 0.2365 0.9648
O2 0.2365 0.1843 0.4648
O3 0.7635 0.8157 0.5352
O4 0.8157 0.7635 0.0352
F1 0.1764 0.8236 0.2500
F2 0.3414 0.4296 0.6439
F3 0.4296 0.3414 0.1439
F4 0.5704 0.6586 0.8561
F5 0.6586 0.5704 0.3561
F6 0.8236 0.1764 0.7500

The calculation puts the total energy at -3.198 eV/atom. The total magnetization comes out at 1.07 μB per formula unit. The calculation puts the density at 2.2 g cm⁻³. For the uncorrected formation energy, the calculation gives -0.291 eV per atom.